[1]
Material: GaHgClO2
Method: DFT, GGA-PBE
State: relaxed

The structure belongs to space group P2_1/m (No. 11); the cell edges are 6.672, 3.942 and 7.637 Å and the angles 90.00°, 98.08° and 90.00°. The distinct sites, in fractional coordinates, are Ga at (0.036, 0.250, 0.144), Hg at (0.222, 0.250, 0.611), Cl at (0.370, 0.250, 0.296), O at (0.013, 0.750, 0.108) and O at (0.121, 0.750, 0.666).

As for the formation energy (no corrections): -1011 meV per atom.

***

[2]
Material: CaCuN3
Method: DFT, GGA-PBE
State: relaxed

The structure belongs to space group Pm-3m (No. 221); the cell edges are 4.434, 4.434 and 4.434 Å and the angles 90.00°, 90.00° and 90.00°. The distinct sites, in fractional coordinates, are Ca at (0.000, 0.000, 0.000), Cu at (0.500, 0.500, 0.500) and N at (0.000, 0.000, 0.500).

As for the formation energy (no corrections): 2330 meV per atom.

***

[3]
Material: SiS2F
Method: DFT, GGA-PBE
State: relaxed

The structure belongs to space group I-42d (No. 122); the cell edges are 6.054, 6.054 and 8.175 Å and the angles 90.00°, 90.00° and 90.00°. The distinct sites, in fractional coordinates, are Si at (0.000, 0.000, 0.000), S at (0.193, 0.250, 0.125) and F at (0.000, 0.000, 0.500).

As for the formation energy (no corrections): -402 meV per atom. As for the energy above the most stable polymorph in this dataset: 0.24 eV per formula unit.